## LaTlSn (PBE-GGA)

Data for crystalline LaTlSn at its relaxed geometry.

Cell lengths 5.3794, 5.3794, 6.6947 Å; angles 90.00, 90.00, 112.71 degrees
With the nearest neighbours (Å) after each atom.
Positions (direct):
1 La 0.1680 0.8320 0.7500  5 Tl 3.17-3.35, 2 Sn 3.41
2 La 0.8320 0.1680 0.2500  5 Tl 3.17-3.35, 2 Sn 3.41
3 Tl 0.1862 0.8138 0.2500  5 La 3.17-3.35, 2 Sn 3.27
4 Tl 0.8138 0.1862 0.7500  5 La 3.17-3.35, 2 Sn 3.27
5 Sn 0.5000 0.5000 0.0000  2 Tl 3.27, 2 Sn 3.35, 2 La 3.41
6 Sn 0.5000 0.5000 0.5000  2 Tl 3.27, 2 Sn 3.35, 2 La 3.41

Properties
Formation enthalpy at 0 K ... -0.434 eV/atom
Excess energy over the best structure of this formula in the dataset ... 0.077 eV per atom

***

## Cs2ScAlF6 (PBE-GGA)

Data for crystalline Cs2ScAlF6 at its relaxed geometry.

Cell lengths 6.5523, 6.5523, 6.5523 Å; angles 120.37, 120.37, 89.36 degrees
With the nearest neighbours (Å) after each atom.
Positions (direct):
1 Cs 0.2500 0.7500 0.5000  12 F 3.27-3.29
2 Cs 0.7500 0.2500 0.5000  12 F 3.27-3.29
3 Sc 0.0000 0.0000 0.0000  6 F 2.05
4 Al 0.5000 0.5000 0.0000  6 F 2.56-2.61
5 F 0.2198 0.2198 0.0000  1 Sc 2.05
6 F 0.2227 0.2227 0.4454  1 Sc 2.05
7 F 0.2227 0.7773 0.0000  1 Sc 2.05
8 F 0.7773 0.2227 0.0000  1 Sc 2.05
9 F 0.7773 0.7773 0.5546  1 Sc 2.05
10 F 0.7802 0.7802 0.0000  1 Sc 2.05

Properties
Raw formation energy ... -2.98 eV per atom

***

## ZrZn2Co (PBE-GGA)

Data for crystalline ZrZn2Co at its relaxed geometry.

Cell lengths 4.4178, 4.4178, 4.4178 Å; angles 120.17, 120.17, 89.70 degrees
With the nearest neighbours (Å) after each atom.
Positions (direct):
1 Zr 0.0000 0.0000 0.0000  4 Zn 2.70, 4 Co 2.70
2 Zn 0.5000 0.5000 0.0000  4 Zn 2.70, 4 Co 2.70
3 Zn 0.7500 0.2500 0.5000  4 Zr 2.70, 4 Zn 2.70
4 Co 0.2500 0.7500 0.5000  4 Zn 2.70, 4 Zr 2.70

Properties
Formation enthalpy at 0 K ... -0.162 eV/atom

***

## NaSiB (PBE-GGA)

Data for crystalline NaSiB at its relaxed geometry.

Cell lengths 6.7194, 3.7153, 6.1793 Å; angles 90.00, 90.00, 90.00 degrees
With the nearest neighbours (Å) after each atom.
Positions (direct):
1 Na 0.0188 0.2500 0.1527  3 B 2.60-2.62, 2 Na 2.66, 6 Si 2.72-2.90
2 Na 0.4812 0.7500 0.6527  3 B 2.60-2.62, 2 Na 2.66, 6 Si 2.72-2.90
3 Na 0.5188 0.2500 0.3473  3 B 2.60-2.62, 2 Na 2.66, 6 Si 2.72-2.90
4 Na 0.9812 0.7500 0.8473  3 B 2.60-2.62, 2 Na 2.66, 6 Si 2.72-2.90
5 Si 0.1546 0.2500 0.5873  4 B 2.19-2.23
6 Si 0.3454 0.7500 0.0873  4 B 2.19-2.23
7 Si 0.6546 0.2500 0.9127  4 B 2.19-2.23
8 Si 0.8454 0.7500 0.4127  4 B 2.19-2.23
9 B 0.1716 0.7500 0.3954  4 Si 2.19-2.23
10 B 0.3284 0.2500 0.8954  4 Si 2.19-2.23
11 B 0.6716 0.7500 0.1046  4 Si 2.19-2.23
12 B 0.8284 0.2500 0.6046  4 Si 2.19-2.23

Properties
Raw formation energy ... 0.28 eV per atom

***

## ZrReSi3 (PBE-GGA)

Data for crystalline ZrReSi3 at its relaxed geometry.

Cell lengths 4.6424, 4.6424, 4.6424 Å; angles 90.00, 90.00, 90.00 degrees
With the nearest neighbours (Å) after each atom.
Positions (direct):
1 Zr 0.0000 0.0000 0.0000  12 Si 3.28
2 Re 0.5000 0.5000 0.5000  6 Si 2.32
3 Si 0.0000 0.5000 0.5000  2 Re 2.32
4 Si 0.5000 0.0000 0.5000  2 Re 2.32
5 Si 0.5000 0.5000 0.0000  2 Re 2.32

Properties
Excess energy over the best structure of this formula in the dataset ... 0.000 eV per atom
Raw formation energy ... 0.64 eV per atom

***

## BaLiHgPb2 (PBE-GGA)

Data for crystalline BaLiHgPb2 at its relaxed geometry.

Cell lengths 7.2664, 7.2664, 7.2664 Å; angles 140.14, 140.14, 57.64 degrees
With the nearest neighbours (Å) after each atom.
Positions (direct):
1 Ba 0.0000 0.0000 0.0000  8 Pb 3.82, 4 Hg 4.03, 4 Li 4.03
2 Li 0.2500 0.7500 0.5000  4 Pb 2.99
3 Hg 0.7500 0.2500 0.5000  4 Pb 2.99
4 Pb 0.3809 0.3809 0.0000  2 Hg 2.99, 2 Li 2.99, 1 Pb 3.03
5 Pb 0.6191 0.6191 0.0000  2 Hg 2.99, 2 Li 2.99, 1 Pb 3.03

Properties
Formation enthalpy at 0 K ... -0.378 eV/atom
Excess energy over the best structure of this formula in the dataset ... 0.000 eV per atom

***

Number 1: calculated density 8.59 g cm⁻³, VASP energy -4.199 eV per atom. Number 2: calculated density 3.79 g cm⁻³, VASP energy -5.281 eV per atom. Number 3: calculated density 7.67 g cm⁻³, VASP energy -4.713 eV per atom. Number 4: calculated density 2.66 g cm⁻³, VASP energy -4.198 eV per atom. Number 5: calculated density 6.00 g cm⁻³, VASP energy -6.810 eV per atom. Number 6: calculated density 8.07 g cm⁻³, VASP energy -2.689 eV per atom.